Sm3Cu2Pt7: relaxed, PBE-GGA.

Unit cell a=9.1408 b=9.1408 c=9.1408 alpha=34.78 beta=34.78 gamma=34.78
Fractional coordinates of all 12 atoms:
1 Sm 0.0000 0.0000 0.0000
2 Sm 0.1391 0.1391 0.1391
3 Sm 0.8609 0.8609 0.8609
4 Cu 0.3336 0.3336 0.3336
5 Cu 0.6664 0.6664 0.6664
6 Pt 0.0775 0.5824 0.5825
7 Pt 0.4175 0.4176 0.9225
8 Pt 0.4175 0.9225 0.4175
9 Pt 0.5000 0.5000 0.5000
10 Pt 0.5825 0.0775 0.5825
11 Pt 0.5825 0.5825 0.0775
12 Pt 0.9225 0.4175 0.4176

Values from the calculation:
Total magnetic moment, μB per cell: 0.00
Mass density, Mg/m³: 14.55
Fermi-level density of states, states/eV per cell: 7.477
Formation enthalpy at 0 K, eV per atom: -0.88
Volume, Å³/cell: 221.8
SG: No. 166

=====

ZrVN: relaxed, PBE-GGA.

Unit cell a=3.2512 b=3.2512 c=7.3691 alpha=90.00 beta=90.00 gamma=90.00
Fractional coordinates of all 6 atoms:
1 Zr 0.2500 0.2500 0.1656
2 Zr 0.7500 0.7500 0.8344
3 V 0.2500 0.7500 0.5000
4 V 0.7500 0.2500 0.5000
5 N 0.2500 0.2500 0.6963
6 N 0.7500 0.7500 0.3037

Values from the calculation:
Raw formation energy, meV per atom: -580
Total magnetic moment, μB per cell: 0.00
Mass density, Mg/m³: 6.66
Fermi-level density of states, states/eV per cell: 1.933
Volume, Å³/cell: 77.9
Offset from the most stable computed form, meV/atom: 326
SG: No. 129